[1]
The following is a DFT calculation (PBE-GGA) of SiB3As after structural relaxation.

a = 4.029 Å, b = 4.029 Å, c = 4.029 Å
α = 90.00°, β = 90.00°, γ = 90.00°
Sites, in units of the cell vectors:
Si1 0.000 0.000 0.000
B1 0.000 0.000 0.500
B2 0.000 0.500 0.000
B3 0.500 0.000 0.000
As1 0.500 0.500 0.500

- formation energy from raw total energies (eV per atom) = 1.56
- energy (eV per atom) = -4.465
- DOS at the Fermi energy (states/eV/atom) = 0.51
- E above lowest polymorph (meV/atom) = 0

[2]
The following is a DFT calculation (PBE-GGA) of V2SiBAs after structural relaxation.

a = 4.455 Å, b = 4.455 Å, c = 4.497 Å
α = 90.00°, β = 90.00°, γ = 90.00°
Sites, in units of the cell vectors:
V1 0.000 0.500 0.000
V2 0.500 0.000 0.000
Si1 0.000 0.000 0.000
B1 0.500 0.500 0.500
As1 0.000 0.000 0.500

- formation energy from raw total energies (eV per atom) = 1.63
- energy (eV per atom) = -5.371
- DOS at the Fermi energy (states/eV/atom) = 0.88

[3]
The following is a DFT calculation (PBE-GGA) of VSi2BAs after structural relaxation.

a = 4.630 Å, b = 4.630 Å, c = 4.092 Å
α = 90.00°, β = 90.00°, γ = 90.00°
Sites, in units of the cell vectors:
V1 0.000 0.000 0.000
Si1 0.000 0.500 0.000
Si2 0.500 0.000 0.000
B1 0.000 0.000 0.500
As1 0.500 0.500 0.500

- formation energy from raw total energies (eV per atom) = 1.02
- energy (eV per atom) = -5.239
- DOS at the Fermi energy (states/eV/atom) = 1.00

[4]
The following is a DFT calculation (PBE-GGA) of SiBAs2W after structural relaxation.

a = 4.633 Å, b = 4.633 Å, c = 4.719 Å
α = 90.00°, β = 90.00°, γ = 90.00°
Sites, in units of the cell vectors:
Si1 0.000 0.000 0.000
B1 0.500 0.500 0.500
As1 0.000 0.500 0.000
As2 0.500 0.000 0.000
W1 0.000 0.000 0.500

- formation energy from raw total energies (eV per atom) = 2.01
- energy (eV per atom) = -4.864
- DOS at the Fermi energy (states/eV/atom) = 0.74